Record 1
## ReBrCl2 (PBE)

Data for ReBrCl2 after structural relaxation.

Calculated values
Energy above the lowest structure with this stoichiometry = 0.030 eV per atom
E_form (uncorrected) = -134 meV/atom
N(E_F) = 1.63 states/eV per cell

Unit cell a=3.515 b=6.813 c=6.814 alpha=44.35 beta=90.00 gamma=90.00
Fractional coordinates of all 4 atoms:
Re 0.500 0.250 0.250
Br 0.500 0.750 0.750
Cl 0.000 0.119 0.119
Cl 0.000 0.381 0.381

=====

Record 2
## HfMn2NiRu (PBE)

Data for HfMn2NiRu after structural relaxation.

Calculated values
Energy of formation = 1.663 eV/atom
N(E_F) = 5.43 states/eV per cell

Unit cell a=4.719 b=4.647 c=4.719 alpha=90.00 beta=90.00 gamma=90.00
Fractional coordinates of all 5 atoms:
Ru 0.000 0.500 0.000
Mn 0.000 0.000 0.500
Mn 0.500 0.000 0.000
Hf 0.000 0.000 0.000
Ni 0.500 0.500 0.500

=====

Record 3
## LaSbSe (PBE)

Data for LaSbSe after structural relaxation.

Calculated values
E_form (uncorrected) = -1019 meV/atom
N(E_F) = 1.67 states/eV per cell

Unit cell a=6.242 b=6.243 c=3.968 alpha=71.47 beta=71.47 gamma=37.06
Fractional coordinates of all 3 atoms:
La 0.029 0.029 0.971
Sb 0.340 0.340 0.660
Se 0.631 0.631 0.369

=====

- Which of these has the lowest N(E_F)?
  ReBrCl2

=====

- Which of these has the lowest N(E_F)?
  ReBrCl2